(1)
Here is a relaxed structure of ThMgHgBi from Alexandria via LeMat-Bulk. Energies are from PBE.

Cell and atoms, written as POSCAR:
```
ThMgHgBi
1.0
4.414 0.000 0.000
0.000 4.819 0.000
0.000 0.000 5.143
Bi Hg Mg Th
1 1 1 1
Direct
0.500 0.500 0.000
0.500 0.000 0.500
0.000 0.500 0.500
0.000 0.000 0.000
```

Results
- Magnetic moment: 0.00 μB per formula unit
- Density of states at the Fermi level: 0.74 states/eV/atom
- SG: No. 47
- DFT formation energy: -0.32 eV per atom

(2)
Here is a relaxed structure of LiMg2PdO4 from Alexandria via LeMat-Bulk. Energies are from PBE.

Cell and atoms, written as POSCAR:
```
LiMg2PdO4
1.0
4.307 0.002 0.000
-0.002 4.307 0.000
-2.152 -2.154 4.200
Li O Mg Pd
1 4 2 1
Direct
0.500 0.500 0.000
0.998 0.498 0.995
0.756 0.756 0.512
0.244 0.244 0.488
0.502 0.002 0.005
0.250 0.750 0.500
0.000 0.000 0.000
0.750 0.250 0.500
```

Results
- Magnetic moment: 0.00 μB per formula unit
- Density of states at the Fermi level: 0.16 states/eV/atom
- SG: No. 119
- Formation energy without anion corrections: -1822 meV/atom